Entry 1:
Entry from Alexandria via LeMat-Bulk: crystalline MnCuN2 at its relaxed geometry (PBE).

Computed properties:
The symmetry is No. 225. The value obtained for the raw formation energy is 0.887 eV/atom. As for the energy above the lowest structure with this stoichiometry: 3.31 eV per formula unit.

Lattice parameters (Å, degrees): 3.6719 3.6719 3.6719 60.00 60.00 60.00
Fractional positions:
Mn 0.0000 0.0000 0.0000
Cu 0.5000 0.5000 0.5000
N 0.2500 0.2500 0.2500
N 0.7500 0.7500 0.7500

Entry 2:
Entry from Alexandria via LeMat-Bulk: crystalline NaMn2MoH at its relaxed geometry (PBE).

Computed properties:
Its final energy is -30.54 eV for the cell shown. The symmetry is No. 123.

Lattice parameters (Å, degrees): 4.5235 4.5235 3.4799 90.00 90.00 90.00
Fractional positions:
Na 0.0000 0.0000 0.0000
Mn 0.0000 0.5000 0.5000
Mn 0.5000 0.0000 0.5000
Mo 0.5000 0.5000 0.0000
H 0.5000 0.5000 0.5000

Entry 3:
Entry from Alexandria via LeMat-Bulk: crystalline Ta3CF at its relaxed geometry (PBE).

Computed properties:
The symmetry is No. 221. The value obtained for the raw formation energy is 0.296 eV/atom. As for the energy above the lowest structure with this stoichiometry: 0.00 eV per formula unit.

Lattice parameters (Å, degrees): 4.2873 4.2873 4.2873 90.00 90.00 90.00
Fractional positions:
Ta 0.0000 0.0000 0.5000
Ta 0.0000 0.5000 0.0000
Ta 0.5000 0.0000 0.0000
C 0.0000 0.0000 0.0000
F 0.5000 0.5000 0.5000

Number 1: size of the total moment 2.4 μB per formula unit. Number 2: size of the total moment 6.1 μB per formula unit. Number 3: size of the total moment 0.0 μB per formula unit.